1.
Below is crystalline VCo2H at its relaxed geometry, with properties calculated at the PBE-GGA level.

Cell and atoms, written as CIF:
```
data_VCo2H
_chemical_formula_sum 'V4 Co8 H4'
_cell_length_a 5.378
_cell_length_b 5.378
_cell_length_c 5.378
_cell_angle_alpha 90.00
_cell_angle_beta 90.00
_cell_angle_gamma 90.00
_symmetry_space_group_name_H-M 'P 1'
_symmetry_Int_Tables_number 1
loop_
_symmetry_equiv_pos_as_xyz
'x,y,z'
loop_
_atom_site_label
_atom_site_type_symbol
_atom_site_fract_x
_atom_site_fract_y
_atom_site_fract_z
V1 V 0.000 0.000 0.000
V2 V 0.000 0.500 0.500
V3 V 0.500 0.000 0.500
V4 V 0.500 0.500 0.000
Co1 Co 0.250 0.250 0.250
Co2 Co 0.250 0.250 0.750
Co3 Co 0.250 0.750 0.250
Co4 Co 0.250 0.750 0.750
Co5 Co 0.750 0.250 0.250
Co6 Co 0.750 0.250 0.750
Co7 Co 0.750 0.750 0.250
Co8 Co 0.750 0.750 0.750
H1 H 0.000 0.000 0.500
H2 H 0.000 0.500 0.000
H3 H 0.500 0.000 0.000
H4 H 0.500 0.500 0.500
```

Density of states at the Fermi level ... 0.288 states/eV/atom
Energy ... -6.31 eV/atom
V ... 9.72 Å³ per atom
Mass density ... 7.251 g/cm³


2.
Below is crystalline La2NiSn2 at its relaxed geometry, with properties calculated at the PBE-GGA level.

Cell and atoms, written as CIF:
```
data_La2NiSn2
_chemical_formula_sum 'La4 Ni2 Sn4'
_cell_length_a 6.260
_cell_length_b 6.260
_cell_length_c 12.010
_cell_angle_alpha 116.26
_cell_angle_beta 116.26
_cell_angle_gamma 41.76
_symmetry_space_group_name_H-M 'P 1'
_symmetry_Int_Tables_number 1
loop_
_symmetry_equiv_pos_as_xyz
'x,y,z'
loop_
_atom_site_label
_atom_site_type_symbol
_atom_site_fract_x
_atom_site_fract_y
_atom_site_fract_z
La1 La 0.089 0.089 0.390
La2 La 0.298 0.298 0.855
La3 La 0.702 0.702 0.145
La4 La 0.911 0.911 0.610
Ni1 Ni 0.436 0.436 0.197
Ni2 Ni 0.564 0.564 0.803
Sn1 Sn 0.049 0.049 0.910
Sn2 Sn 0.370 0.370 0.379
Sn3 Sn 0.630 0.630 0.621
Sn4 Sn 0.951 0.951 0.090
```

DFT formation energy ... -3.357 eV/f.u.
Density of states at the Fermi level ... 0.677 states/eV/atom
Energy ... -5.40 eV/atom
V ... 27.61 Å³ per atom
Mass density ... 6.903 g/cm³


3.
Below is crystalline CsK3H6Au2 at its relaxed geometry, with properties calculated at the PBE-GGA level.

Cell and atoms, written as CIF:
```
data_CsK3H6Au2
_chemical_formula_sum 'Cs1 K3 H6 Au2'
_cell_length_a 6.206
_cell_length_b 6.206
_cell_length_c 8.402
_cell_angle_alpha 90.00
_cell_angle_beta 90.00
_cell_angle_gamma 120.00
_symmetry_space_group_name_H-M 'P 1'
_symmetry_Int_Tables_number 1
loop_
_symmetry_equiv_pos_as_xyz
'x,y,z'
loop_
_atom_site_label
_atom_site_type_symbol
_atom_site_fract_x
_atom_site_fract_y
_atom_site_fract_z
Cs1 Cs 0.000 0.000 0.000
K1 K 0.000 0.000 0.500
K2 K 0.333 0.667 0.318
K3 K 0.667 0.333 0.682
H1 H 0.173 0.346 0.719
H2 H 0.173 0.827 0.719
H3 H 0.346 0.173 0.281
H4 H 0.654 0.827 0.719
H5 H 0.827 0.173 0.281
H6 H 0.827 0.654 0.281
Au1 Au 0.333 0.667 0.719
Au2 Au 0.667 0.333 0.281
```

Energy ... -2.78 eV/atom
V ... 23.36 Å³ per atom
Mass density ... 3.852 g/cm³


4.
Below is crystalline Ba4P at its relaxed geometry, with properties calculated at the PBE-GGA level.

Cell and atoms, written as CIF:
```
data_Ba4P
_chemical_formula_sum 'Ba8 P2'
_cell_length_a 9.084
_cell_length_b 8.953
_cell_length_c 10.983
_cell_angle_alpha 53.04
_cell_angle_beta 51.95
_cell_angle_gamma 75.02
_symmetry_space_group_name_H-M 'P 1'
_symmetry_Int_Tables_number 1
loop_
_symmetry_equiv_pos_as_xyz
'x,y,z'
loop_
_atom_site_label
_atom_site_type_symbol
_atom_site_fract_x
_atom_site_fract_y
_atom_site_fract_z
Ba1 Ba 0.223 0.803 0.951
Ba2 Ba 0.227 0.299 0.447
Ba3 Ba 0.299 0.227 0.027
Ba4 Ba 0.301 0.699 0.532
Ba5 Ba 0.699 0.301 0.468
Ba6 Ba 0.718 0.782 0.949
Ba7 Ba 0.782 0.718 0.551
Ba8 Ba 0.803 0.223 0.023
P1 P 0.257 0.257 0.743
P2 P 0.507 0.507 0.993
```

DFT formation energy ... -2.168 eV/f.u.
Density of states at the Fermi level ... 1.222 states/eV/atom
Energy ... -3.05 eV/atom
V ... 55.30 Å³ per atom
Mass density ... 3.485 g/cm³


5.
Below is crystalline PRuSeN at its relaxed geometry, with properties calculated at the PBE-GGA level.

Cell and atoms, written as CIF:
```
data_PRuSeN
_chemical_formula_sum 'P1 Ru1 Se1 N1'
_cell_length_a 2.846
_cell_length_b 3.871
_cell_length_c 7.087
_cell_angle_alpha 86.02
_cell_angle_beta 78.74
_cell_angle_gamma 68.44
_symmetry_space_group_name_H-M 'P 1'
_symmetry_Int_Tables_number 1
loop_
_symmetry_equiv_pos_as_xyz
'x,y,z'
loop_
_atom_site_label
_atom_site_type_symbol
_atom_site_fract_x
_atom_site_fract_y
_atom_site_fract_z
P1 P 0.000 0.000 0.000
Ru1 Ru 0.353 0.464 0.825
Se1 Se 0.763 0.853 0.611
N1 N 0.368 0.162 0.105
```

Energy relative to the elements, uncorrected ... -0.08 eV per atom
Energy ... -6.70 eV/atom
V ... 17.80 Å³ per atom
Mass density ... 5.247 g/cm³


6.
Below is crystalline Si2SbIr at its relaxed geometry, with properties calculated at the PBE-GGA level.

Cell and atoms, written as CIF:
```
data_Si2SbIr
_chemical_formula_sum 'Si2 Sb1 Ir1'
_cell_length_a 3.101
_cell_length_b 3.101
_cell_length_c 7.391
_cell_angle_alpha 90.00
_cell_angle_beta 90.00
_cell_angle_gamma 90.00
_symmetry_space_group_name_H-M 'P 1'
_symmetry_Int_Tables_number 1
loop_
_symmetry_equiv_pos_as_xyz
'x,y,z'
loop_
_atom_site_label
_atom_site_type_symbol
_atom_site_fract_x
_atom_site_fract_y
_atom_site_fract_z
Si1 Si 0.000 0.000 0.000
Si2 Si 0.500 0.500 0.190
Sb1 Sb 0.500 0.500 0.639
Ir1 Ir 0.000 0.000 0.362
```

Density of states at the Fermi level ... 0.862 states/eV/atom
Energy relative to the elements, uncorrected ... 0.12 eV per atom
Energy ... -5.84 eV/atom
V ... 17.76 Å³ per atom
Mass density ... 8.651 g/cm³